Entry from the Alexandria database: SiAuOF2 after structural relaxation (GGA-PBE).

abc: 4.398 4.398 4.119
angles: 90.00 90.00 90.00
Element x y z (fractional)
1 Au 0.000 0.000 0.000
2 F 0.000 0.500 0.000
3 F 0.500 0.000 0.000
4 O 0.000 0.000 0.500
5 Si 0.500 0.500 0.500

Results
- energy relative to the lowest polymorph listed for this composition (eV per formula unit) = 5.38
- N(E_F) (states/eV per cell) = 2.24

=====

Entry from the Alexandria database: SiAuO2F after structural relaxation (GGA-PBE).

abc: 3.532 3.532 4.198
angles: 90.00 90.00 90.00
Element x y z (fractional)
1 Au 0.500 0.500 0.500
2 Si 0.000 0.000 0.000
3 O 0.500 0.000 0.000
4 O 0.000 0.500 0.000
5 F 0.000 0.000 0.500

Results
- N(E_F) (states/eV per cell) = 1.00

=====

Electronic total energy for the records above, in order: -17.86, -26.43 eV for the cell shown
Energy relative to the elements, uncorrected for the records above, in order: -93, -1189 meV per atom